w) Crystalline MnNbAs2Br at its relaxed geometry, computed with GGA-PBE.

Computed properties:
Total magnetic moment (μB/cell): 5.41

Cell lengths 4.650, 4.650, 5.014 Å; angles 90.00, 90.00, 90.00 degrees
Atoms (fractional coordinates):
Mn 0.000 0.000 0.000
Nb 0.500 0.500 0.500
As 0.000 0.500 0.000
As 0.500 0.000 0.000
Br 0.000 0.000 0.500

x) Crystalline MnNbAs2Br at its relaxed geometry, computed with GGA-PBE.

Computed properties:
Total magnetic moment (μB/cell): 5.37

Cell lengths 5.014, 5.014, 5.261 Å; angles 90.00, 90.00, 90.00 degrees
Atoms (fractional coordinates):
Mn 0.000 0.000 0.000
Nb 0.500 0.500 0.500
As 0.000 0.500 0.500
As 0.500 0.000 0.500
Br 0.500 0.500 0.000

Energies relative to the minimum, meV/atom: w) 212; x) 0

w) Crystalline MnAs2OsBr at its relaxed geometry, computed with GGA-PBE.

Computed properties:
Total magnetic moment (μB/cell): 4.91

Cell lengths 4.721, 4.721, 5.496 Å; angles 90.00, 90.00, 90.00 degrees
Atoms (fractional coordinates):
Mn 0.000 0.000 0.000
As 0.000 0.500 0.500
As 0.500 0.000 0.500
Os 0.500 0.500 0.500
Br 0.500 0.500 0.000

x) Crystalline MnAs2OsBr at its relaxed geometry, computed with GGA-PBE.

Computed properties:
Total magnetic moment (μB/cell): 2.14

Cell lengths 4.555, 4.555, 4.748 Å; angles 90.00, 90.00, 90.00 degrees
Atoms (fractional coordinates):
Mn 0.000 0.000 0.000
As 0.000 0.500 0.000
As 0.500 0.000 0.000
Os 0.500 0.500 0.500
Br 0.000 0.000 0.500

Energies relative to the minimum, meV/atom: w) 0; x) 535

w) Crystalline MnAsPdBr2 at its relaxed geometry, computed with GGA-PBE.

Computed properties:
Total magnetic moment (μB/cell): 2.59

Cell lengths 5.053, 5.053, 4.778 Å; angles 90.00, 90.00, 90.00 degrees
Atoms (fractional coordinates):
Mn 0.000 0.000 0.000
As 0.000 0.000 0.500
Pd 0.500 0.500 0.500
Br 0.000 0.500 0.000
Br 0.500 0.000 0.000

x) Crystalline MnAsPdBr2 at its relaxed geometry, computed with GGA-PBE.

Computed properties:
Total magnetic moment (μB/cell): 3.03

Cell lengths 5.016, 5.016, 5.310 Å; angles 90.00, 90.00, 90.00 degrees
Atoms (fractional coordinates):
Mn 0.000 0.000 0.000
As 0.500 0.500 0.000
Pd 0.000 0.000 0.500
Br 0.000 0.500 0.500
Br 0.500 0.000 0.500

Energies relative to the minimum, meV/atom: w) 0; x) 220

w) Crystalline MnAsRuBr2 at its relaxed geometry, computed with GGA-PBE.

Computed properties:
Total magnetic moment (μB/cell): 5.47

Cell lengths 5.223, 5.223, 4.659 Å; angles 90.00, 90.00, 90.00 degrees
Atoms (fractional coordinates):
Mn 0.000 0.000 0.000
As 0.500 0.500 0.000
Ru 0.500 0.500 0.500
Br 0.000 0.500 0.500
Br 0.500 0.000 0.500

x) Crystalline MnAsRuBr2 at its relaxed geometry, computed with GGA-PBE.

Computed properties:
Total magnetic moment (μB/cell): 2.95

Cell lengths 5.044, 5.044, 4.493 Å; angles 90.00, 90.00, 90.00 degrees
Atoms (fractional coordinates):
Mn 0.000 0.000 0.000
As 0.000 0.000 0.500
Ru 0.500 0.500 0.500
Br 0.000 0.500 0.000
Br 0.500 0.000 0.000

Energies relative to the minimum, meV/atom: w) 0; x) 512